Model one:
This record from the Open Quantum Materials Database describes a geometry-optimized HoAgSnS3 structure. The functional is PBE.

The value obtained for the density is 5.57 Mg/m³.

The structure belongs to space group Pnma (No. 62); the cell edges are 11.916, 3.923 and 12.452 Å and the angles 90.00°, 90.00° and 90.00°. The distinct sites, in fractional coordinates, are Ho at (0.015, 0.250, 0.150), Ag at (0.199, 0.750, 0.389), Sn at (0.170, 0.250, 0.581), S at (0.014, 0.750, 0.306), S at (0.105, 0.250, 0.949) and S at (0.246, 0.250, 0.200).


Model two:
This record from the Open Quantum Materials Database describes a geometry-optimized HoAgSnS3 structure. The functional is PBE.

The value obtained for the density is 6.03 Mg/m³.

The structure belongs to space group Cmcm (No. 63); the cell edges are 3.986, 13.033 and 10.345 Å and the angles 90.00°, 90.00° and 90.00°. The distinct sites, in fractional coordinates, are Ho at (0.000, 0.000, 0.000), Ag at (0.000, 0.459, 0.250), Sn at (0.000, 0.256, 0.750), S at (0.000, 0.089, 0.250) and S at (0.000, 0.359, 0.048).


From most stable to least stable, the computed energies give model one, model two.